Record 1
A plane-wave DFT calculation with PBE was carried out for an optimized crystal structure of Zr2TiMnV.

Unit cell a=4.9870 b=4.9870 c=4.0517 alpha=90.00 beta=90.00 gamma=90.00
Closest atoms and distances in Å follow each position.
Space group P4/mmm (No. 123)
Unique sites:
Zr1 0.0000 0.5000 0.0000  2 Ti 2.49
Ti1 0.0000 0.0000 0.0000  2 V 2.03
Mn1 0.5000 0.5000 0.5000  8 Zr 3.21, 4 V 3.53
V1 0.0000 0.0000 0.5000  2 Ti 2.03

Summary:
- magnetic moment (μB per atom) = 0.00



Record 2
A plane-wave DFT calculation with PBE was carried out for an optimized crystal structure of Ti2MnW.

Unit cell a=6.8808 b=6.8808 c=5.2267 alpha=90.00 beta=90.00 gamma=90.00
Closest atoms and distances in Å follow each position.
Space group I-42d (No. 122)
Unique sites:
Ti1 0.2175 0.2500 0.1250  2 Mn 2.37, 2 Ti 2.65
Mn1 0.0000 0.0000 0.0000  4 Ti 2.37, 2 W 2.61
W1 0.0000 0.0000 0.5000  2 Mn 2.61, 4 Ti 2.68

Summary:
- magnetic moment (μB per atom) = 0.00



Record 3
A plane-wave DFT calculation with PBE was carried out for an optimized crystal structure of Ti2MnW.

Unit cell a=3.0333 b=3.0333 c=6.3780 alpha=90.00 beta=90.00 gamma=90.00
Closest atoms and distances in Å follow each position.
Space group P4/mmm (No. 123)
Unique sites:
Ti1 0.0000 0.0000 0.2272  4 Mn 2.59, 4 W 2.76, 1 Ti 2.90
Mn1 0.5000 0.5000 0.0000  8 Ti 2.59
W1 0.5000 0.5000 0.5000  8 Ti 2.76, 4 W 3.03

Summary:
- magnetic moment (μB per atom) = 0.01



Record 4
A plane-wave DFT calculation with PBE was carried out for an optimized crystal structure of Ti2MnW.

Unit cell a=4.3941 b=4.3941 c=3.0983 alpha=90.00 beta=90.00 gamma=90.00
Closest atoms and distances in Å follow each position.
Space group P4/mmm (No. 123)
Unique sites:
Ti1 0.0000 0.5000 0.0000  4 W 2.69, 4 Mn 2.69
Mn1 0.0000 0.0000 0.5000  8 Ti 2.69
W1 0.5000 0.5000 0.5000  8 Ti 2.69

Summary:
- magnetic moment (μB per atom) = 0.30



Record 5
A plane-wave DFT calculation with PBE was carried out for an optimized crystal structure of Ti2MnW.

Unit cell a=2.7768 b=4.2327 c=5.0948 alpha=90.00 beta=100.24 gamma=90.00
Closest atoms and distances in Å follow each position.
Space group P2/m (No. 10)
Unique sites:
Ti1 0.2279 0.0000 0.2623  2 Mn 2.57, 4 Ti 2.62-2.78, 2 W 2.68
Mn1 0.0000 0.5000 0.5000  4 Ti 2.57, 2 W 2.68, 2 Mn 2.78
W1 0.5000 0.5000 0.0000  2 Mn 2.68, 4 Ti 2.68, 2 W 2.78

Summary:
- magnetic moment (μB per atom) = 0.00



Record 6
A plane-wave DFT calculation with PBE was carried out for an optimized crystal structure of Ti2Mn2W.

Unit cell a=6.7579 b=6.7579 c=3.1158 alpha=90.00 beta=90.00 gamma=90.00
Closest atoms and distances in Å follow each position.
Space group P4/mbm (No. 127)
Unique sites:
Ti1 0.1603 0.3397 0.0000  6 Mn 2.43-2.58
Mn1 0.1444 0.6444 0.5000  6 Ti 2.43-2.58, 2 W 2.59
W1 0.0000 0.0000 0.5000  4 Mn 2.59

Summary:
- magnetic moment (μB per atom) = 0.01



| no. | energy of formation from the pure elements (eV per atom) | Fermi-level density of states (states/eV per cell) |
| --- | --- | --- |
| 1 | 1.320 | 8.23 |
| 2 | 0.466 | 22.02 |
| 3 | -0.059 | 6.19 |
| 4 | -0.016 | 6.33 |
| 5 | -0.005 | 5.27 |
| 6 | 0.142 | 11.95 |